No. 1
# GGA-PBE ScBe2Cu, relaxed
data_ScBe2Cu
_cell_length_a 2.8142
_cell_length_b 2.8142
_cell_length_c 23.4783
_cell_angle_alpha 90.00
_cell_angle_beta 90.00
_cell_angle_gamma 120.00
_symmetry_space_group_name_H-M 'R 3 m'
_symmetry_Int_Tables_number 160
_symmetry_space_group_name_Hall 'R 3 -2"'
loop_
_atom_site_label
_atom_site_fract_x
_atom_site_fract_y
_atom_site_fract_z
Sc1 0.0000 0.0000 0.0000
Be1 0.0000 0.0000 0.4931
Be2 0.0000 0.0000 0.7595
Cu1 0.0000 0.0000 0.2323
# - total DFT energy (no corrections) (eV/cell) = -49.0
# - D(E_F) (states/eV per cell) = 3.013
# - relative energy among the computed polymorphs (eV per formula unit) = 1.94
# - formation energy from the elements (eV per atom) = 0.389

***

No. 2
# GGA-PBE Sc3BeCu2, relaxed
data_Sc3BeCu2
_cell_length_a 3.226
_cell_length_b 3.226
_cell_length_c 9.711
_cell_angle_alpha 90.00
_cell_angle_beta 90.00
_cell_angle_gamma 90.00
_symmetry_space_group_name_H-M 'P 4/m m m'
_symmetry_Int_Tables_number 123
_symmetry_space_group_name_Hall '-P 4 2'
loop_
_atom_site_label
_atom_site_fract_x
_atom_site_fract_y
_atom_site_fract_z
Sc1 0.000 0.000 0.000
Sc2 0.000 0.000 0.341
Be1 0.500 0.500 0.500
Cu1 0.500 0.500 0.173
# - total DFT energy (no corrections) (eV/cell) = -32.1
# - D(E_F) (states/eV per cell) = 4.300
# - formation energy from the elements (eV per atom) = -0.201

***

No. 3
# GGA-PBE ScBe2Cu, relaxed
data_ScBe2Cu
_cell_length_a 2.840
_cell_length_b 2.898
_cell_length_c 6.146
_cell_angle_alpha 90.00
_cell_angle_beta 90.00
_cell_angle_gamma 90.00
_symmetry_space_group_name_H-M 'P m m m'
_symmetry_Int_Tables_number 47
_symmetry_space_group_name_Hall '-P 2 2'
loop_
_atom_site_label
_atom_site_fract_x
_atom_site_fract_y
_atom_site_fract_z
Sc1 0.000 0.000 0.000
Be1 0.500 0.500 0.310
Cu1 0.000 0.000 0.500
# - total DFT energy (no corrections) (eV/cell) = -18.0
# - D(E_F) (states/eV per cell) = 2.004
# - relative energy among the computed polymorphs (eV per formula unit) = 0.29
# - formation energy from the elements (eV per atom) = -0.024

***

No. 4
# GGA-PBE ScBe2Cu, relaxed
data_ScBe2Cu
_cell_length_a 6.494
_cell_length_b 3.763
_cell_length_c 4.972
_cell_angle_alpha 90.00
_cell_angle_beta 116.36
_cell_angle_gamma 90.00
_symmetry_space_group_name_H-M 'C 1 m 1'
_symmetry_Int_Tables_number 8
_symmetry_space_group_name_Hall 'C -2y'
loop_
_atom_site_label
_atom_site_fract_x
_atom_site_fract_y
_atom_site_fract_z
Sc1 0.000 0.000 0.000
Be1 0.302 0.500 0.405
Be2 0.492 0.000 0.475
Cu1 0.200 0.000 0.599
# - total DFT energy (no corrections) (eV/cell) = -36.4
# - D(E_F) (states/eV per cell) = 5.459
# - relative energy among the computed polymorphs (eV per formula unit) = 0.05
# - formation energy from the elements (eV per atom) = -0.084

***

No. 5
# GGA-PBE ScBe2Cu, relaxed
data_ScBe2Cu
_cell_length_a 5.807
_cell_length_b 5.807
_cell_length_c 5.807
_cell_angle_alpha 90.00
_cell_angle_beta 90.00
_cell_angle_gamma 90.00
_symmetry_space_group_name_H-M 'F m -3 m'
_symmetry_Int_Tables_number 225
_symmetry_space_group_name_Hall '-F 4 2 3'
loop_
_atom_site_label
_atom_site_fract_x
_atom_site_fract_y
_atom_site_fract_z
Sc1 0.000 0.000 0.000
Be1 0.250 0.250 0.250
Cu1 0.000 0.000 0.500
# - total DFT energy (no corrections) (eV/cell) = -72.6
# - D(E_F) (states/eV per cell) = 5.146
# - relative energy among the computed polymorphs (eV per formula unit) = 0.12
# - formation energy from the elements (eV per atom) = -0.067

***

No. 6
# GGA-PBE ScBe2Cu, relaxed
data_ScBe2Cu
_cell_length_a 3.626
_cell_length_b 2.956
_cell_length_c 9.745
_cell_angle_alpha 90.00
_cell_angle_beta 90.00
_cell_angle_gamma 90.00
_symmetry_space_group_name_H-M 'A m m 2'
_symmetry_Int_Tables_number 38
_symmetry_space_group_name_Hall 'A 2 -2'
loop_
_atom_site_label
_atom_site_fract_x
_atom_site_fract_y
_atom_site_fract_z
Sc1 0.000 0.000 0.000
Be1 0.000 0.000 0.732
Be2 0.500 0.000 0.625
Cu1 0.500 0.000 0.306
# - total DFT energy (no corrections) (eV/cell) = -35.7
# - D(E_F) (states/eV per cell) = 3.518
# - relative energy among the computed polymorphs (eV per formula unit) = 0.42
# - formation energy from the elements (eV per atom) = 0.007

***

No. 7
# GGA-PBE Sc5Be2Cu12, relaxed
data_Sc5Be2Cu12
_cell_length_a 13.048
_cell_length_b 6.694
_cell_length_c 6.293
_cell_angle_alpha 90.00
_cell_angle_beta 91.69
_cell_angle_gamma 90.00
_symmetry_space_group_name_H-M 'C 1 2/m 1'
_symmetry_Int_Tables_number 12
_symmetry_space_group_name_Hall '-C 2y'
loop_
_atom_site_label
_atom_site_fract_x
_atom_site_fract_y
_atom_site_fract_z
Sc1 0.000 0.000 0.000
Sc2 0.211 0.500 0.482
Sc3 0.245 0.000 0.046
Be1 0.000 0.317 0.500
Cu1 0.049 0.500 0.819
Cu2 0.083 0.000 0.405
Cu3 0.111 0.301 0.175
Cu4 0.134 0.190 0.738
# - total DFT energy (no corrections) (eV/cell) = -181.1
# - D(E_F) (states/eV per cell) = 19.273
# - formation energy from the elements (eV per atom) = -0.121

***

No. 8
# GGA-PBE ScBeCu3, relaxed
data_ScBeCu3
_cell_length_a 4.123
_cell_length_b 4.123
_cell_length_c 4.123
_cell_angle_alpha 90.00
_cell_angle_beta 90.00
_cell_angle_gamma 90.00
_symmetry_space_group_name_H-M 'P m -3 m'
_symmetry_Int_Tables_number 221
_symmetry_space_group_name_Hall '-P 4 2 3'
loop_
_atom_site_label
_atom_site_fract_x
_atom_site_fract_y
_atom_site_fract_z
Sc1 0.000 0.000 0.000
Be1 0.500 0.500 0.500
Cu1 0.000 0.500 0.500
# - total DFT energy (no corrections) (eV/cell) = -22.2
# - D(E_F) (states/eV per cell) = 3.189
# - relative energy among the computed polymorphs (eV per formula unit) = 0.69
# - formation energy from the elements (eV per atom) = 0.026

***

No. 9
# GGA-PBE ScBeCu3, relaxed
data_ScBeCu3
_cell_length_a 4.728
_cell_length_b 4.728
_cell_length_c 4.728
_cell_angle_alpha 90.00
_cell_angle_beta 90.00
_cell_angle_gamma 90.00
_symmetry_space_group_name_H-M 'P m -3 m'
_symmetry_Int_Tables_number 221
_symmetry_space_group_name_Hall '-P 4 2 3'
loop_
_atom_site_label
_atom_site_fract_x
_atom_site_fract_y
_atom_site_fract_z
Sc1 0.000 0.000 0.000
Be1 0.500 0.500 0.500
Cu1 0.000 0.000 0.500
# - total DFT energy (no corrections) (eV/cell) = -14.9
# - D(E_F) (states/eV per cell) = 2.380
# - relative energy among the computed polymorphs (eV per formula unit) = 7.99
# - formation energy from the elements (eV per atom) = 1.486

***

No. 10
# GGA-PBE ScBe6Cu6, relaxed
data_ScBe6Cu6
_cell_length_a 4.413
_cell_length_b 7.928
_cell_length_c 7.963
_cell_angle_alpha 90.00
_cell_angle_beta 90.00
_cell_angle_gamma 90.00
_symmetry_space_group_name_H-M 'I m m m'
_symmetry_Int_Tables_number 71
_symmetry_space_group_name_Hall '-I 2 2'
loop_
_atom_site_label
_atom_site_fract_x
_atom_site_fract_y
_atom_site_fract_z
Sc1 0.000 0.000 0.000
Be1 0.000 0.500 0.266
Be2 0.250 0.250 0.250
Cu1 0.000 0.000 0.348
Cu2 0.000 0.305 0.500
Cu3 0.000 0.349 0.000
# - total DFT energy (no corrections) (eV/cell) = -110.9
# - D(E_F) (states/eV per cell) = 8.162
# - formation energy from the elements (eV per atom) = -0.170

***

No. 11
# GGA-PBE ScBeCu, relaxed
data_ScBeCu
_cell_length_a 6.025
_cell_length_b 6.025
_cell_length_c 6.025
_cell_angle_alpha 90.00
_cell_angle_beta 90.00
_cell_angle_gamma 90.00
_symmetry_space_group_name_H-M 'F -4 3 m'
_symmetry_Int_Tables_number 216
_symmetry_space_group_name_Hall 'F -4 2 3'
loop_
_atom_site_label
_atom_site_fract_x
_atom_site_fract_y
_atom_site_fract_z
Sc1 0.000 0.000 0.000
Be1 0.250 0.250 0.250
Cu1 0.250 0.250 0.750
# - total DFT energy (no corrections) (eV/cell) = -48.6
# - D(E_F) (states/eV per cell) = 9.176
# - relative energy among the computed polymorphs (eV per formula unit) = 2.53
# - formation energy from the elements (eV per atom) = 0.667

***

No. 12
# GGA-PBE Sc4BeCu, relaxed
data_Sc4BeCu
_cell_length_a 7.931
_cell_length_b 7.931
_cell_length_c 7.931
_cell_angle_alpha 90.00
_cell_angle_beta 90.00
_cell_angle_gamma 90.00
_symmetry_space_group_name_H-M 'F -4 3 m'
_symmetry_Int_Tables_number 216
_symmetry_space_group_name_Hall 'F -4 2 3'
loop_
_atom_site_label
_atom_site_fract_x
_atom_site_fract_y
_atom_site_fract_z
Sc1 0.125 0.125 0.125
Be1 0.250 0.250 0.750
Cu1 0.000 0.000 0.500
# - total DFT energy (no corrections) (eV/cell) = -116.6
# - D(E_F) (states/eV per cell) = 21.120
# - formation energy from the elements (eV per atom) = 0.666

***

No. 13
# GGA-PBE Sc2Be2Cu, relaxed
data_Sc2Be2Cu
_cell_length_a 5.012
_cell_length_b 5.012
_cell_length_c 6.378
_cell_angle_alpha 90.00
_cell_angle_beta 90.00
_cell_angle_gamma 90.00
_symmetry_space_group_name_H-M 'I 4/m m m'
_symmetry_Int_Tables_number 139
_symmetry_space_group_name_Hall '-I 4 2'
loop_
_atom_site_label
_atom_site_fract_x
_atom_site_fract_y
_atom_site_fract_z
Sc1 0.000 0.500 0.250
Be1 0.000 0.000 0.150
Cu1 0.000 0.000 0.500
# - total DFT energy (no corrections) (eV/cell) = -46.6
# - D(E_F) (states/eV per cell) = 5.929
# - relative energy among the computed polymorphs (eV per formula unit) = 1.20
# - formation energy from the elements (eV per atom) = 0.185